VASP calculation (PBE) on Tl8TeS5 after structural relaxation.

Calculated values
Formation energy (no corrections) in meV/atom: -163
Magnetization in μB/cell: 0.0

a b c (Å): 12.5600 12.5600 12.5600
angles (deg): 90.00 90.00 90.00
Space group F-43m (No. 216)
Symmetry-distinct sites (fractional):
Tl 0.1066 0.1066 0.3934 x16
Tl 0.1342 0.1342 0.8658 x16
Te 0.2500 0.2500 0.2500 x4
S 0.0000 0.0000 0.0000 x4
S 0.1227 0.1227 0.6227 x16